Entry 1:
The following is a DFT calculation (PBE) of a geometry-optimized Pm3Nd2Er2 structure.

Lattice parameters (Å, degrees): 3.6221 8.8662 9.5686 72.10 55.33 90.03
Fractional positions:
Pm1 0.0000 0.0000 0.0000
Pm2 0.5775 0.5714 0.2815
Pm3 0.4225 0.4286 0.7185
Nd1 0.1469 0.1447 0.5691
Nd2 0.8531 0.8553 0.4309
Er1 0.2887 0.2868 0.1411
Er2 0.7113 0.7132 0.8589

Raw total energy ... -4.686 eV/atom
Energy of formation ... 0.02 eV per atom
Crystal system ... triclinic
Excess energy over the best structure of this formula in the dataset ... 0 kJ/mol of formula units


Entry 2:
The following is a DFT calculation (PBE) of a geometry-optimized RbBa2GaS4 structure.

Lattice parameters (Å, degrees): 8.8574 8.8574 8.9018 120.01 120.01 87.68
Fractional positions:
Rb1 0.0000 0.5000 0.0000
Rb2 0.0000 0.5000 0.5000
Ba1 0.5000 0.0000 0.0000
Ba2 0.5000 0.0000 0.5000
Ba3 0.0000 0.0000 0.5000
Ba4 0.5000 0.5000 0.0000
Ga1 0.5000 0.5000 0.5000
Ga2 0.0000 0.0000 0.0000
S1 0.1894 0.8274 0.0088
S2 0.6726 0.3106 0.4912
S3 0.3274 0.6894 0.5088
S4 0.8106 0.1726 0.9912
S5 0.7466 0.7561 0.0169
S6 0.7439 0.7534 0.4831
S7 0.2561 0.2466 0.5169
S8 0.2534 0.2439 0.9831

Raw formation energy ... -1.210 eV per atom
Raw total energy ... -4.253 eV/atom
Crystal system ... monoclinic


Entry 3:
The following is a DFT calculation (PBE) of a geometry-optimized Pm2PrTm structure.

Lattice parameters (Å, degrees): 4.2427 4.2427 7.5246 90.00 90.00 90.00
Fractional positions:
Pr1 0.5000 0.5000 0.5000
Tm1 0.5000 0.5000 0.0000
Pm1 0.0000 0.0000 0.7620
Pm2 0.0000 0.0000 0.2380

Raw total energy ... -4.574 eV/atom
Energy of formation ... 0.11 eV per atom
Crystal system ... tetragonal
Excess energy over the best structure of this formula in the dataset ... 38 kJ/mol of formula units


Entry 4:
The following is a DFT calculation (PBE) of a geometry-optimized Ce3FeSb structure.

Lattice parameters (Å, degrees): 5.0661 5.0661 5.0661 90.00 90.00 90.00
Site moments in Bohr magnetons follow the coordinates.
Fractional positions:
Sb1 0.5000 0.5000 0.5000  -0.02
Fe1 0.0000 0.0000 0.0000  -0.14
Ce1 0.0000 0.5000 0.0000  0.61
Ce2 0.0000 0.0000 0.5000  0.61
Ce3 0.5000 0.0000 0.0000  0.61

Raw formation energy ... -0.450 eV per atom
Raw total energy ... -6.528 eV/atom
Crystal system ... cubic
Excess energy over the best structure of this formula in the dataset ... 24 kJ/mol of formula units


Entry 5:
The following is a DFT calculation (PBE) of a geometry-optimized CdGaAu4 structure.

Lattice parameters (Å, degrees): 5.1925 5.8408 8.0249 90.00 113.33 90.00
Fractional positions:
Cd1 0.2949 0.2500 0.1300
Cd2 0.7051 0.7500 0.8700
Ga1 0.2376 0.2500 0.5251
Ga2 0.7624 0.7500 0.4749
Au1 0.7081 0.2500 0.4969
Au2 0.2919 0.7500 0.5031
Au3 0.7097 0.2500 0.8628
Au4 0.2903 0.7500 0.1372
Au5 0.8358 0.0052 0.2086
Au6 0.1642 0.5052 0.7914
Au7 0.8358 0.4948 0.2086
Au8 0.1642 0.9948 0.7914

Raw total energy ... -2.970 eV/atom
Energy of formation ... -0.13 eV per atom
Crystal system ... monoclinic
Excess energy over the best structure of this formula in the dataset ... 1 kJ/mol of formula units


Entry 6:
The following is a DFT calculation (PBE) of a geometry-optimized Ag2SbPd8 structure.

Lattice parameters (Å, degrees): 5.2509 7.7322 7.4038 58.52 69.59 48.11
Fractional positions:
Ag1 0.0000 0.3053 0.3894
Ag2 0.0000 0.6947 0.6106
Sb1 0.5000 0.0000 0.0000
Pd1 0.8930 0.1038 0.2216
Pd2 0.8930 0.3255 0.7784
Pd3 0.3310 0.4008 0.0000
Pd4 0.5000 0.7839 0.4322
Pd5 0.5000 0.2161 0.5678
Pd6 0.6690 0.5992 0.0000
Pd7 0.1070 0.6745 0.2216
Pd8 0.1070 0.8962 0.7784

Raw formation energy ... -0.005 eV per atom
Raw total energy ... -4.675 eV/atom
Crystal system ... monoclinic
Excess energy over the best structure of this formula in the dataset ... 0 kJ/mol of formula units


Entry 7:
The following is a DFT calculation (PBE) of a geometry-optimized PmPr3Er2Te6 structure.

Lattice parameters (Å, degrees): 4.3939 9.0189 10.0025 104.24 102.69 90.00
Fractional positions:
Pm1 0.5000 0.0000 0.0000
Pr1 0.5000 0.5000 0.0000
Pr2 0.8385 0.1686 0.6769
Pr3 0.1615 0.8314 0.3231
Er1 0.8350 0.6703 0.6700
Er2 0.1650 0.3297 0.3300
Te1 0.3319 0.9047 0.6638
Te2 0.6715 0.5730 0.3430
Te3 0.6681 0.0953 0.3362
Te4 0.0059 0.2497 0.0119
Te5 0.9941 0.7503 0.9881
Te6 0.3285 0.4270 0.6570

Raw formation energy ... -1.364 eV per atom
Raw total energy ... -5.286 eV/atom
Crystal system ... monoclinic


Entry 8:
The following is a DFT calculation (PBE) of a geometry-optimized CsLiYS2 structure.

Lattice parameters (Å, degrees): 6.1141 7.1820 8.3123 115.60 90.00 90.00
Site moments in Bohr magnetons follow the coordinates.
Fractional positions:
Cs1 0.2217 0.7500 0.5000  0.01
Cs2 0.7783 0.2500 0.5000  0.01
Li1 0.0000 0.0000 0.0000  0.03
Li2 0.0000 0.5000 0.0000  0.03
Y1 0.5000 0.7500 0.0000  0.19
Y2 0.5000 0.2500 0.0000  0.19
S1 0.7083 0.8995 0.7990  -0.01
S2 0.7083 0.6005 0.2010  -0.01
S3 0.2917 0.3995 0.7990  -0.01
S4 0.2917 0.1005 0.2010  -0.01

Raw formation energy ... -1.263 eV per atom
Raw total energy ... -4.761 eV/atom
Crystal system ... orthorhombic